First-principles (PBE-GGA) data for crystalline SmDy5Er2 at its relaxed geometry, as listed in the Alexandria database.

a = 7.0894 Å, b = 14.1800 Å, c = 5.0018 Å
α = 90.00°, β = 90.00°, γ = 90.00°
Space group Pbam (No. 55)
One atom of each set of equivalent atoms:
Sm1 0.0000 0.0000 0.0000 (multiplicity 2)
Dy1 0.9998 0.2506 0.0000 (multiplicity 4)
Dy2 0.0000 0.5000 0.0000 (multiplicity 2)
Dy3 0.2503 0.1254 0.5000 (multiplicity 4)
Er1 0.2495 0.3744 0.5000 (multiplicity 4)

Results
energy relative to the elements: 0.0165 eV/atom